Here is a relaxed Nb2RhW crystal from Alexandria via LeMat-Bulk. Energies are from PBE-GGA.

a b c (Å): 3.7804 3.7804 10.3800
angles (deg): 79.51 79.51 90.00
With the nearest neighbours (Å) after each atom.
Positions (direct):
W 0.7500 0.2500 0.5000  4 Rh 2.67, 4 Nb 2.83
W 0.0000 0.0000 0.0000  4 Rh 2.67, 4 Nb 2.83
Nb 0.1197 0.6250 0.2500  4 Nb 2.64-2.70, 2 W 2.83, 2 Rh 2.85
Nb 0.8750 0.8803 0.7500  4 Nb 2.64-2.70, 2 W 2.83, 2 Rh 2.85
Nb 0.3750 0.3697 0.7500  4 Nb 2.64-2.70, 2 W 2.83, 2 Rh 2.85
Nb 0.6303 0.1250 0.2500  4 Nb 2.64-2.70, 2 W 2.83, 2 Rh 2.85
Rh 0.2500 0.7500 0.5000  4 W 2.67, 4 Nb 2.85
Rh 0.5000 0.5000 0.0000  4 W 2.67, 4 Nb 2.85

Calculated values
Calculated volume ... 143.3 Å³ per cell
Magnetic moment ... 0.00 μB/cell
E_form ... 0.63 eV per atom
E ... -9.485 eV per atom